No. 1
DFT (meta-GGA SCAN) results for a PBEsol-optimized structure of LiAgAu2.

Cell and atoms, written as CIF:
```
data_LiAgAu2
_chemical_formula_sum 'Li3 Ag3 Au6'
_symmetry_space_group_name_H-M 'R -3 m'
_symmetry_Int_Tables_number 166
_symmetry_space_group_name_Hall '-R 3 2"'
_cell_length_a 2.8450
_cell_length_b 2.8450
_cell_length_c 27.3893
_cell_angle_alpha 90.00
_cell_angle_beta 90.00
_cell_angle_gamma 120.00
loop_
_atom_site_label
_atom_site_type_symbol
_atom_site_fract_x
_atom_site_fract_y
_atom_site_fract_z
Li1 Li 0.0000 0.0000 0.0000
Ag1 Ag 0.0000 0.0000 0.5000
Au1 Au 0.0000 0.0000 0.2550
```

## Properties
**Fermi-level density of states**: 0.23 states/eV per atom
**ΔE_f**: -111 kJ/mol of formula units
**Distance to the lowest polymorph of the same formula**: 0.087 eV per atom

No. 2
DFT (meta-GGA SCAN) results for a PBEsol-optimized structure of YZrSe2.

Cell and atoms, written as CIF:
```
data_YZrSe2
_chemical_formula_sum 'Y1 Zr1 Se2'
_symmetry_space_group_name_H-M 'P 4/m m m'
_symmetry_Int_Tables_number 123
_symmetry_space_group_name_Hall '-P 4 2'
_cell_length_a 3.925
_cell_length_b 3.925
_cell_length_c 5.547
_cell_angle_alpha 90.00
_cell_angle_beta 90.00
_cell_angle_gamma 90.00
loop_
_atom_site_label
_atom_site_type_symbol
_atom_site_fract_x
_atom_site_fract_y
_atom_site_fract_z
Y1 Y 0.000 0.000 0.000
Zr1 Zr 0.500 0.500 0.500
Se1 Se 0.000 0.000 0.500
Se2 Se 0.500 0.500 0.000
```

## Properties
**Fermi-level density of states**: 0.64 states/eV per atom
**Formation energy without anion corrections**: -1.523 eV/atom
**Distance to the lowest polymorph of the same formula**: 0.000 eV per atom

No. 3
DFT (meta-GGA SCAN) results for a PBEsol-optimized structure of K3GeS3.

Cell and atoms, written as CIF:
```
data_K3GeS3
_chemical_formula_sum 'K12 Ge4 S12'
_symmetry_space_group_name_H-M 'C 1 2/m 1'
_symmetry_Int_Tables_number 12
_cell_length_a 8.648
_cell_length_b 12.316
_cell_length_c 8.127
_cell_angle_alpha 90.00
_cell_angle_beta 116.44
_cell_angle_gamma 90.00
loop_
_symmetry_equiv_pos_as_xyz
'x,y,z'
'-x,-y,-z'
'-x,y,-z'
'x,-y,z'
'x+1/2,y+1/2,z'
'-x+1/2,-y+1/2,-z'
'-x+1/2,y+1/2,-z'
'x+1/2,-y+1/2,z'
loop_
_atom_site_label
_atom_site_type_symbol
_atom_site_fract_x
_atom_site_fract_y
_atom_site_fract_z
K1 K 0.000 0.167 0.000
K2 K 0.215 0.500 0.185
K3 K 0.250 0.250 0.500
Ge1 Ge 0.119 0.500 0.657
S1 S 0.097 0.352 0.802
S2 S 0.130 0.000 0.359
```

## Properties
**Fermi-level density of states**: 0.00 states/eV per atom
**Formation energy without anion corrections**: -1.213 eV/atom

No. 4
DFT (meta-GGA SCAN) results for a PBEsol-optimized structure of LaAlAs2.

Cell and atoms, written as CIF:
```
data_LaAlAs2
_chemical_formula_sum 'La3 Al3 As6'
_symmetry_space_group_name_H-M 'R -3 m'
_symmetry_Int_Tables_number 166
_symmetry_space_group_name_Hall '-R 3 2"'
_cell_length_a 4.0836
_cell_length_b 4.0836
_cell_length_c 18.9968
_cell_angle_alpha 90.00
_cell_angle_beta 90.00
_cell_angle_gamma 120.00
loop_
_atom_site_label
_atom_site_type_symbol
_atom_site_fract_x
_atom_site_fract_y
_atom_site_fract_z
La1 La 0.0000 0.0000 0.0000
Al1 Al 0.0000 0.0000 0.5000
As1 As 0.0000 0.0000 0.2361
```

## Properties
**Fermi-level density of states**: 0.04 states/eV per atom
**ΔE_f**: -340 kJ/mol of formula units

Q: Which uncorrected energy values were calculated for the entries above? A: -519.67; -104.79; -325.80; -284.29, in eV per cell.